Record 1
PrHo3Pt2 | PBE | optimized geometry

a = 8.6487 Å, b = 8.6487 Å, c = 7.4058 Å
α = 95.57°, β = 95.57°, γ = 34.88°
Element x y z (fractional)
Pr1 0.1920 0.1920 0.3303
Pr2 0.8080 0.8080 0.6697
Ho1 0.0335 0.0335 0.7755
Ho2 0.3373 0.3373 0.0098
Ho3 0.3979 0.3979 0.4659
Ho4 0.6021 0.6021 0.5341
Ho5 0.6627 0.6627 0.9902
Ho6 0.9665 0.9665 0.2245
Pt1 0.2034 0.2034 0.7349
Pt2 0.4849 0.4849 0.8056
Pt3 0.5151 0.5151 0.1944
Pt4 0.7966 0.7966 0.2651

The energy of formation comes out at -0.809 eV per atom. The total magnetization comes out at 0.00 Bohr magnetons per cell. The density of states at the Fermi level is 10.12 states/eV per cell. For the relative energy among the computed polymorphs, the calculation gives 11.4 kJ/mol of atoms.

Record 2
Tb11Al9Ag4 | PBE | optimized geometry

a = 12.9491 Å, b = 12.9491 Å, c = 3.6533 Å
α = 90.00°, β = 90.00°, γ = 112.65°
Element x y z (fractional)
Tb1 0.0000 0.0000 0.0000
Tb2 0.0561 0.4083 0.0000
Tb3 0.1613 0.8387 0.0000
Tb4 0.2931 0.2931 0.0000
Tb5 0.3628 0.6372 0.0000
Tb6 0.4083 0.0561 0.0000
Tb7 0.5917 0.9439 0.0000
Tb8 0.6372 0.3628 0.0000
Tb9 0.7069 0.7069 0.0000
Tb10 0.8387 0.1613 0.0000
Tb11 0.9439 0.5917 0.0000
Al1 0.0712 0.2131 0.5000
Al2 0.1614 0.6339 0.5000
Al3 0.2131 0.0712 0.5000
Al4 0.3661 0.8386 0.5000
Al5 0.5000 0.5000 0.5000
Al6 0.6339 0.1614 0.5000
Al7 0.7869 0.9288 0.5000
Al8 0.8386 0.3661 0.5000
Al9 0.9288 0.7869 0.5000
Ag1 0.2461 0.4480 0.5000
Ag2 0.4480 0.2461 0.5000
Ag3 0.5520 0.7539 0.5000
Ag4 0.7539 0.5520 0.5000

The energy of formation comes out at -0.351 eV per atom. The total magnetization comes out at 0.00 Bohr magnetons per cell. The density of states at the Fermi level is 14.07 states/eV per cell.